The following is a PBE-GGA calculation of a relaxed Tb5MgAl3 crystal, from Alexandria via LeMat-Bulk.

Computed properties:
**Magnetic moment**: 0.000 μB/f.u.
**Formation energy from the elements**: -2.527 eV/f.u.
**Raw total energy**: -4.28 eV per atom

Lattice parameters (Å, degrees): 9.0711 9.0711 6.4987 90.00 90.00 120.00
Sites, in units of the cell vectors:
Tb (0.0000, 0.3121, 0.2500)
Tb (0.0000, 0.6879, 0.7500)
Tb (0.3121, 0.0000, 0.2500)
Tb (0.3121, 0.3121, 0.7500)
Tb (0.3333, 0.6667, 0.0000)
Tb (0.3333, 0.6667, 0.5000)
Tb (0.6667, 0.3333, 0.0000)
Tb (0.6667, 0.3333, 0.5000)
Tb (0.6879, 0.0000, 0.7500)
Tb (0.6879, 0.6879, 0.2500)
Mg (0.0000, 0.0000, 0.0000)
Mg (0.0000, 0.0000, 0.5000)
Al (0.0000, 0.3507, 0.7500)
Al (0.0000, 0.6493, 0.2500)
Al (0.3507, 0.0000, 0.7500)
Al (0.3507, 0.3507, 0.2500)
Al (0.6493, 0.0000, 0.2500)
Al (0.6493, 0.6493, 0.7500)

***

The following is a PBE-GGA calculation of a relaxed Tb4Mg5Al2 crystal, from Alexandria via LeMat-Bulk.

Computed properties:
**Magnetic moment**: 0.000 μB/f.u.
**Formation energy from the elements**: -1.553 eV/f.u.
**Raw total energy**: -3.23 eV per atom

Lattice parameters (Å, degrees): 8.0133 3.5000 10.1788 90.00 94.23 90.00
Sites, in units of the cell vectors:
Tb (0.1570, 0.0000, 0.3743)
Tb (0.2641, 0.0000, 0.9439)
Tb (0.7359, 0.0000, 0.0561)
Tb (0.8430, 0.0000, 0.6257)
Mg (0.1915, 0.5000, 0.6642)
Mg (0.4278, 0.5000, 0.2019)
Mg (0.5000, 0.5000, 0.5000)
Mg (0.5722, 0.5000, 0.7981)
Mg (0.8085, 0.5000, 0.3358)
Al (0.0552, 0.5000, 0.1285)
Al (0.9448, 0.5000, 0.8715)

***

The following is a PBE-GGA calculation of a relaxed Tb3MgAl2 crystal, from Alexandria via LeMat-Bulk.

Computed properties:
**Magnetic moment**: 0.000 μB/f.u.
**Formation energy from the elements**: -1.909 eV/f.u.
**Raw total energy**: -4.15 eV per atom

Lattice parameters (Å, degrees): 5.1871 5.1871 12.6868 90.00 90.00 120.00
Sites, in units of the cell vectors:
Tb (0.0000, 0.0000, 0.2438)
Tb (0.0000, 0.0000, 0.7562)
Tb (0.3333, 0.6667, 0.4173)
Tb (0.3333, 0.6667, 0.9220)
Tb (0.6667, 0.3333, 0.0780)
Tb (0.6667, 0.3333, 0.5827)
Mg (0.3333, 0.6667, 0.6696)
Mg (0.6667, 0.3333, 0.3304)
Al (0.0000, 0.0000, 0.0000)
Al (0.0000, 0.0000, 0.5000)
Al (0.3333, 0.6667, 0.1735)
Al (0.6667, 0.3333, 0.8265)

***

The following is a PBE-GGA calculation of a relaxed TbMg3Al8 crystal, from Alexandria via LeMat-Bulk.

Computed properties:
**Magnetic moment**: 0.000 μB/f.u.
**Formation energy from the elements**: -1.858 eV/f.u.
**Raw total energy**: -3.43 eV per atom

Lattice parameters (Å, degrees): 5.5087 5.5087 8.7586 90.00 90.00 120.00
Sites, in units of the cell vectors:
Tb (0.0000, 0.0000, 0.0000)
Mg (0.0000, 0.0000, 0.3754)
Mg (0.6667, 0.3333, 0.4986)
Mg (0.6667, 0.3333, 0.8654)
Al (0.1625, 0.3250, 0.6839)
Al (0.1625, 0.8375, 0.6839)
Al (0.3333, 0.6667, 0.4401)
Al (0.3333, 0.6667, 0.9351)
Al (0.5039, 0.0078, 0.1848)
Al (0.5039, 0.4961, 0.1848)
Al (0.6750, 0.8375, 0.6839)
Al (0.9922, 0.4961, 0.1848)

***

> Among the records above, which one has the highest raw total energy?

Tb4Mg5Al2

***

> What is the formation energy from the elements in the third record?

-1.909 eV/f.u.

***

> Which value of formation energy from the elements does entry 3 give?

-1.909 eV/f.u.